IrI2Br: relaxed, PBE.

Values from the calculation:
Size of the total moment, μB per formula unit: 0.0
Total energy, eV/atom: -3.415
Raw formation energy, eV per atom: -0.01
Density of states at the Fermi level, states/eV per atom: 1.24
Energy relative to the lowest polymorph listed for this composition, meV/atom: 0
Theoretical density, g/cm³: 6.74

a b c (Å): 3.979 5.183 7.072
angles (deg): 111.38 106.10 90.01
Space group P1 (No. 1)
Inequivalent atoms, fractional coordinates:
Ir1 0.000 0.000 0.000 [1 per cell]
I1 0.362 0.858 0.714 [1 per cell]
I2 0.640 0.140 0.281 [1 per cell]
Br1 0.001 0.470 0.940 [1 per cell]


RbMg2HPt: relaxed, PBE.

Values from the calculation:
Size of the total moment, μB per formula unit: 0.0
Total energy, eV/atom: -2.532
Density of states at the Fermi level, states/eV per atom: 0.30
Theoretical density, g/cm³: 5.58

a b c (Å): 4.499 4.499 4.853
angles (deg): 90.00 90.00 90.00
Space group P4/mmm (No. 123)
Inequivalent atoms, fractional coordinates:
Rb1 0.000 0.000 0.000 [1 per cell]
Mg1 0.000 0.500 0.500 [2 per cell]
H1 0.000 0.000 0.500 [1 per cell]
Pt1 0.500 0.500 0.000 [1 per cell]


Y2VGa6: relaxed, PBE.

Values from the calculation:
Size of the total moment, μB per formula unit: 0.6
ΔE_f, eV/atom: -0.450
Total energy, eV/atom: -4.917
Density of states at the Fermi level, states/eV per atom: 0.46
Theoretical density, g/cm³: 6.34

a b c (Å): 5.8920 5.8920 5.6384
angles (deg): 90.00 90.00 120.00
Space group P-3m1 (No. 164)
Inequivalent atoms, fractional coordinates:
Y1 0.3333 0.6667 0.3308 [2 per cell]
V1 0.0000 0.0000 0.5000 [1 per cell]
Ga1 0.1767 0.3534 0.8176 [6 per cell]


ReMoPd: relaxed, PBE.

Values from the calculation:
Size of the total moment, μB per formula unit: 0.0
ΔE_f, eV/atom: 0.472
Total energy, eV/atom: -9.019
Density of states at the Fermi level, states/eV per atom: 0.65
Energy relative to the lowest polymorph listed for this composition, meV/atom: 431
Theoretical density, g/cm³: 11.75

a b c (Å): 2.761 19.287 4.126
angles (deg): 90.00 90.00 90.00
Space group Cmcm (No. 63)
Inequivalent atoms, fractional coordinates:
Re1 0.000 0.154 0.250 [4 per cell]
Mo1 0.000 0.292 0.250 [4 per cell]
Pd1 0.000 0.459 0.750 [4 per cell]


TbSmTlSe: relaxed, PBE.

Values from the calculation:
Size of the total moment, μB per formula unit: 0.0
Total energy, eV/atom: -4.824
Raw formation energy, eV per atom: -1.02
Density of states at the Fermi level, states/eV per atom: 0.88
Theoretical density, g/cm³: 8.74

a b c (Å): 6.840 3.955 8.632
angles (deg): 90.00 105.27 90.00
Space group Cm (No. 8)
Inequivalent atoms, fractional coordinates:
Tb1 0.000 0.000 0.000 [2 per cell]
Sm1 0.308 0.500 0.423 [2 per cell]
Tl1 0.072 0.500 0.716 [2 per cell]
Se1 0.401 0.000 0.204 [2 per cell]


MgScP3: relaxed, PBE.

Values from the calculation:
Size of the total moment, μB per formula unit: 0.0
ΔE_f, eV/atom: 0.246
Total energy, eV/atom: -4.585
Density of states at the Fermi level, states/eV per atom: 0.75
Energy relative to the lowest polymorph listed for this composition, meV/atom: 0
Theoretical density, g/cm³: 2.29

a b c (Å): 4.899 4.899 4.899
angles (deg): 90.00 90.00 90.00
Space group Pm-3m (No. 221)
Inequivalent atoms, fractional coordinates:
Mg1 0.000 0.000 0.000 [1 per cell]
Sc1 0.500 0.500 0.500 [1 per cell]
P1 0.000 0.500 0.500 [3 per cell]


Dy6NpTe8: relaxed, PBE.

Values from the calculation:
Size of the total moment, μB per formula unit: 5.1
Total energy, eV/atom: -5.618
Raw formation energy, eV per atom: -1.24
Density of states at the Fermi level, states/eV per atom: 1.29
Theoretical density, g/cm³: 8.00

a b c (Å): 12.282 12.282 12.282
angles (deg): 90.00 90.00 90.00
Space group Fm-3m (No. 225)
Inequivalent atoms, fractional coordinates:
Dy1 0.000 0.250 0.250 [24 per cell]
Np1 0.000 0.000 0.000 [4 per cell]
Te1 0.000 0.000 0.258 [24 per cell]
Te2 0.250 0.250 0.250 [8 per cell]


Mg2MnCo: relaxed, PBE.

Values from the calculation:
Size of the total moment, μB per formula unit: 4.2
ΔE_f, eV/atom: 0.269
Total energy, eV/atom: -4.597
Density of states at the Fermi level, states/eV per atom: 1.45
Energy relative to the lowest polymorph listed for this composition, meV/atom: 186
Theoretical density, g/cm³: 4.32

a b c (Å): 2.913 2.913 7.356
angles (deg): 90.00 90.00 90.00
Space group P4/mmm (No. 123)
Inequivalent atoms, fractional coordinates:
Mg1 0.000 0.000 0.226 [2 per cell]
Mn1 0.500 0.500 0.500 [1 per cell]
Co1 0.500 0.500 0.000 [1 per cell]